Entry 1:
This record from Alexandria via LeMat-Bulk describes crystalline LiAcY2 at its relaxed geometry. The functional is PBE.

```
4
Lattice="0.0000 4.0448 4.0448 4.0448 0.0000 4.0448 4.0448 4.0448 0.0000" Properties=species:S:1:pos:R:3 pbc="T T T"
Li 0.0000 0.0000 0.0000
Ac 4.0448 4.0448 4.0448
Y 2.0224 2.0224 2.0224
Y 6.0671 6.0671 6.0671
```

Volume: 33.1 A^3/atom
Energy relative to the lowest polymorph listed for this composition: 0.163 eV/atom
Space group: Fm-3m
ΔH_f (0 K): 254.6 meV per atom

***

Entry 2:
This record from Alexandria via LeMat-Bulk describes crystalline Tc2AuBr at its relaxed geometry. The functional is PBE.

```
4
Lattice="2.9335 0.0000 0.0000 0.0000 2.9335 0.0000 0.0000 0.0000 8.9167" Properties=species:S:1:pos:R:3 pbc="T T T"
Tc 0.0000 0.0000 0.0000
Tc 1.4667 1.4667 1.5549
Au 0.0000 0.0000 3.6182
Br 1.4667 1.4667 6.9714
```

Volume: 19.2 A^3/atom
Raw formation energy: 1.37 eV/f.u.
Energy relative to the lowest polymorph listed for this composition: 0.063 eV/atom
Space group: P4mm

***

Entry 3:
This record from Alexandria via LeMat-Bulk describes crystalline SiRhBr2 at its relaxed geometry. The functional is PBE.

```
4
Lattice="-1.7536 1.7982 7.5659 1.7536 -1.7982 7.5659 1.7536 1.7982 -7.5659" Properties=species:S:1:pos:R:3 pbc="T T T"
Si 0.0000 0.0000 0.0000
Rh 0.0000 0.0000 7.5659
Br 1.7536 0.0000 5.3677
Br 0.0000 1.7982 2.1982
```

Volume: 23.9 A^3/atom
Raw formation energy: -0.05 eV/f.u.
Energy relative to the lowest polymorph listed for this composition: 0.177 eV/atom
Space group: Immm

***

Entry 4:
This record from Alexandria via LeMat-Bulk describes crystalline SrLiIn2Au4 at its relaxed geometry. The functional is PBE.

```
8
Lattice="2.3871 1.3782 8.7894 -2.3871 1.3782 8.7894 0.0000 -2.7564 8.7894" Properties=species:S:1:pos:R:3 pbc="T T T"
Sr 0.0000 0.0000 0.0000
Li 0.0000 0.0000 13.1840
In 0.0000 0.0000 6.3512
In 0.0000 0.0000 20.0169
Au 0.0000 0.0000 3.4730
Au 0.0000 0.0000 10.5424
Au 0.0000 0.0000 15.8257
Au 0.0000 0.0000 22.8951
```

Volume: 21.7 A^3/atom
Space group: R-3m
ΔH_f (0 K): -491.3 meV per atom

***

Entry 5:
This record from Alexandria via LeMat-Bulk describes crystalline La2BeW at its relaxed geometry. The functional is PBE.

```
4
Lattice="-2.2269 2.2269 4.4646 2.2269 -2.2269 4.4646 2.2269 2.2269 -4.4646" Properties=species:S:1:pos:R:3 pbc="T T T"
La 0.0000 0.0000 0.0000
La 0.0000 2.2269 2.2323
Be 0.0000 0.0000 4.4646
W 2.2269 0.0000 2.2323
```

Volume: 22.1 A^3/atom
Space group: I-4m2
ΔH_f (0 K): 687.5 meV per atom

***

Entry 6:
This record from Alexandria via LeMat-Bulk describes crystalline Mg2Tl2F at its relaxed geometry. The functional is PBE.

```
10
Lattice="6.3715 0.0000 0.0000 0.0000 6.3715 0.0000 0.0000 0.0000 5.4380" Properties=species:S:1:pos:R:3 pbc="T T T"
Mg 1.1271 2.0586 0.0000
Mg 2.0586 5.2444 0.0000
Mg 4.3129 1.1271 0.0000
Mg 5.2444 4.3129 0.0000
Tl 1.0841 4.2699 2.7190
Tl 2.1016 1.0841 2.7190
Tl 4.2699 5.2874 2.7190
Tl 5.2874 2.1016 2.7190
F 0.0000 0.0000 0.0000
F 3.1858 3.1858 0.0000
```

Volume: 22.1 A^3/atom
Raw formation energy: -3.73 eV/f.u.
Energy relative to the lowest polymorph listed for this composition: 0.000 eV/atom
Space group: P4/mbm

***

Entry 7:
This record from Alexandria via LeMat-Bulk describes crystalline AcTb4Pm6 at its relaxed geometry. The functional is PBE.

```
11
Lattice="-3.3197 3.3197 8.8464 3.3197 -3.3197 8.8464 3.3197 3.3197 -8.8464" Properties=species:S:1:pos:R:3 pbc="T T T"
Ac 0.0000 0.0000 0.0000
Tb 1.2502 1.2502 -3.1833
Tb 2.0695 -2.0695 12.0297
Tb 2.0695 2.0695 5.6631
Tb -2.0695 2.0695 12.0297
Pm 3.3197 0.0000 0.0000
Pm 1.1975 -1.1975 6.5083
Pm 2.1223 2.1223 2.3381
Pm 0.0000 3.3197 0.0000
Pm -1.1975 1.1975 6.5083
Pm 1.1975 1.1975 11.1845
```

Volume: 35.5 A^3/atom
Space group: I-42m
ΔH_f (0 K): 326.8 meV per atom

***

Entry 8:
This record from Alexandria via LeMat-Bulk describes crystalline Sm12Mg2Tl5 at its relaxed geometry. The functional is PBE.

```
19
Lattice="6.9368 -4.8432 0.0000 6.9368 4.8432 0.0000 -0.7248 0.0000 8.6268" Properties=species:S:1:pos:R:3 pbc="T T T"
Sm 0.9967 0.0000 1.5640
Sm 5.2037 2.8818 1.2029
Sm 4.3559 1.7836 6.0867
Sm 7.9451 2.8818 7.4238
Sm 5.3741 0.0000 3.0791
Sm 8.7930 1.7836 2.5400
Sm 4.3559 -1.7836 6.0867
Sm 7.7748 0.0000 5.5476
Sm 5.2037 -2.8818 1.2029
Sm 8.7930 -1.7836 2.5400
Sm 7.9451 -2.8818 7.4238
Sm 12.1522 0.0000 7.0627
Mg 6.5744 3.2095 4.3134
Mg 6.5744 -3.2095 4.3134
Tl 2.1584 0.0000 4.5773
Tl 3.8344 0.0000 0.1824
Tl 6.9368 0.0000 0.0000
Tl 9.3145 0.0000 8.4444
Tl 10.9905 0.0000 4.0495
```

Volume: 30.5 A^3/atom
Space group: C2/m
ΔH_f (0 K): -113.6 meV per atom